Entry 1:
Pa5Be2Si5 after structural relaxation. Source: Alexandria via LeMat-Bulk, functional PBE.

Lattice parameters (Å, degrees): 7.323 7.323 10.373 123.82 123.82 30.46
Element x y z (fractional)
Pa1 0.000 0.000 0.000
Pa2 0.306 0.306 0.408
Pa3 0.371 0.371 0.191
Pa4 0.629 0.629 0.809
Pa5 0.694 0.694 0.592
Be1 0.388 0.388 0.736
Be2 0.612 0.612 0.264
Si1 0.000 0.000 0.500
Si2 0.069 0.069 0.325
Si3 0.306 0.306 0.867
Si4 0.694 0.694 0.133
Si5 0.931 0.931 0.675

Calculated values
The value obtained for the formation energy (no corrections) is -0.430 eV per atom.


Entry 2:
AlInI2N after structural relaxation. Source: Alexandria via LeMat-Bulk, functional PBE.

Lattice parameters (Å, degrees): 6.074 6.074 4.223 90.00 90.00 90.00
Element x y z (fractional)
Al1 0.000 0.000 0.000
In1 0.500 0.500 0.500
I1 0.000 0.500 0.500
I2 0.500 0.000 0.500
N1 0.500 0.500 0.000

Calculated values
The value obtained for the formation energy (no corrections) is 0.577 eV per atom. The energy above the most stable polymorph in this dataset is 600 meV/atom.


Entry 3:
PrHo4Er after structural relaxation. Source: Alexandria via LeMat-Bulk, functional PBE.

Lattice parameters (Å, degrees): 3.556 6.144 9.390 77.40 79.14 73.23
Element x y z (fractional)
Pr1 0.000 0.000 0.000
Ho1 0.332 0.999 0.337
Ho2 0.333 0.502 0.831
Ho3 0.667 0.498 0.169
Ho4 0.668 0.001 0.663
Er1 0.000 0.500 0.500

Calculated values
As for the formation energy from the elements: 0.460 kcal/mol of atoms. The energy above the most stable polymorph in this dataset is 0 meV/atom.


Entry 4:
MnCrCo2 after structural relaxation. Source: Alexandria via LeMat-Bulk, functional PBE.

Lattice parameters (Å, degrees): 2.490 3.477 5.039 90.00 90.00 90.00
Element x y z (fractional)
Mn1 0.000 0.000 0.000
Cr1 0.500 0.500 0.724
Co1 0.000 0.000 0.488
Co2 0.500 0.500 0.236

Calculated values
As for the formation energy from the elements: 2.130 kcal/mol of atoms.


Entry 5:
Mn2ReNi after structural relaxation. Source: Alexandria via LeMat-Bulk, functional PBE.

Lattice parameters (Å, degrees): 2.952 2.952 5.905 90.00 90.00 90.00
Element x y z (fractional)
Mn1 0.000 0.000 0.237
Mn2 0.000 0.000 0.763
Re1 0.500 0.500 0.500
Ni1 0.500 0.500 0.000

Calculated values
As for the formation energy from the elements: 1.057 kcal/mol of atoms.


Entry 6:
KCoGe after structural relaxation. Source: Alexandria via LeMat-Bulk, functional PBE.

Lattice parameters (Å, degrees): 4.003 4.003 10.061 90.00 90.00 90.00
Element x y z (fractional)
K1 0.250 0.250 0.202
K2 0.750 0.750 0.798
Co1 0.250 0.750 0.500
Co2 0.750 0.250 0.500
Ge1 0.250 0.250 0.618
Ge2 0.750 0.750 0.382

Calculated values
As for the formation energy from the elements: -2.402 kcal/mol of atoms. The energy above the most stable polymorph in this dataset is 0 meV/atom.


Entry 7:
Mn3FeGe after structural relaxation. Source: Alexandria via LeMat-Bulk, functional PBE.

Lattice parameters (Å, degrees): 5.787 5.787 7.868 90.00 90.00 93.75
Element x y z (fractional)
Mn1 0.043 0.303 0.593
Mn2 0.060 0.940 0.885
Mn3 0.197 0.457 0.907
Mn4 0.303 0.043 0.407
Mn5 0.440 0.560 0.385
Mn6 0.457 0.197 0.093
Mn7 0.543 0.803 0.907
Mn8 0.560 0.440 0.615
Mn9 0.697 0.957 0.593
Mn10 0.803 0.543 0.093
Mn11 0.940 0.060 0.115
Mn12 0.957 0.697 0.407
Fe1 0.232 0.768 0.140
Fe2 0.268 0.732 0.640
Fe3 0.732 0.268 0.360
Fe4 0.768 0.232 0.860
Ge1 0.125 0.375 0.250
Ge2 0.375 0.125 0.750
Ge3 0.625 0.875 0.250
Ge4 0.875 0.625 0.750

Calculated values
As for the formation energy from the elements: 4.746 kcal/mol of atoms.


Entry 8:
LiCa2Sn3Pd4 after structural relaxation. Source: Alexandria via LeMat-Bulk, functional PBE.

Lattice parameters (Å, degrees): 4.207 4.207 12.135 90.00 90.00 90.00
Element x y z (fractional)
Li1 0.000 0.000 0.000
Ca1 0.000 0.500 0.760
Ca2 0.500 0.000 0.240
Sn1 0.000 0.500 0.363
Sn2 0.500 0.000 0.637
Sn3 0.500 0.500 0.000
Pd1 0.000 0.000 0.500
Pd2 0.000 0.500 0.143
Pd3 0.500 0.000 0.857
Pd4 0.500 0.500 0.500

Calculated values
As for the formation energy from the elements: -15.425 kcal/mol of atoms.


Entry 9:
Ti4Al2Zn3 after structural relaxation. Source: Alexandria via LeMat-Bulk, functional PBE.

Lattice parameters (Å, degrees): 4.895 4.895 8.531 103.83 103.83 46.10
Element x y z (fractional)
Ti1 0.017 0.017 0.167
Ti2 0.329 0.329 0.611
Ti3 0.671 0.671 0.389
Ti4 0.983 0.983 0.833
Al1 0.345 0.345 0.280
Al2 0.655 0.655 0.720
Zn1 0.000 0.000 0.500
Zn2 0.318 0.318 0.943
Zn3 0.682 0.682 0.057

Calculated values
As for the formation energy from the elements: -4.718 kcal/mol of atoms.


Entry 10:
K4PmNb3O12 after structural relaxation. Source: Alexandria via LeMat-Bulk, functional PBE.

Lattice parameters (Å, degrees): 7.286 7.286 7.286 109.47 109.47 109.47
Element x y z (fractional)
K1 0.000 0.000 0.500
K2 0.000 0.500 0.000
K3 0.500 0.000 0.000
K4 0.500 0.500 0.500
Pm1 0.000 0.000 0.000
Nb1 0.000 0.500 0.500
Nb2 0.500 0.000 0.500
Nb3 0.500 0.500 0.000
O1 0.000 0.271 0.271
O2 0.000 0.729 0.729
O3 0.250 0.500 0.750
O4 0.250 0.750 0.500
O5 0.271 0.000 0.271
O6 0.271 0.271 0.000
O7 0.500 0.250 0.750
O8 0.500 0.750 0.250
O9 0.729 0.000 0.729
O10 0.729 0.729 0.000
O11 0.750 0.250 0.500
O12 0.750 0.500 0.250

Calculated values
The value obtained for the formation energy (no corrections) is -2.278 eV per atom.


Entry 11:
Ac3ErAs4 after structural relaxation. Source: Alexandria via LeMat-Bulk, functional PBE.

Lattice parameters (Å, degrees): 7.691 8.899 7.695 90.00 109.53 90.00
Element x y z (fractional)
Ac1 0.000 0.123 0.250
Ac2 0.000 0.371 0.750
Ac3 0.000 0.629 0.250
Ac4 0.000 0.877 0.750
Ac5 0.500 0.372 0.250
Ac6 0.500 0.628 0.750
Er1 0.500 0.122 0.750
Er2 0.500 0.878 0.250
As1 0.257 0.366 0.510
As2 0.257 0.634 0.010
As3 0.268 0.115 0.999
As4 0.268 0.885 0.499
As5 0.732 0.115 0.501
As6 0.732 0.885 0.001
As7 0.743 0.366 0.990
As8 0.743 0.634 0.490

Calculated values
As for the formation energy from the elements: -33.276 kcal/mol of atoms.


Entry 12:
Tm6CdAg2 after structural relaxation. Source: Alexandria via LeMat-Bulk, functional PBE.

Lattice parameters (Å, degrees): 8.545 8.545 8.545 111.55 109.57 107.32
Element x y z (fractional)
Tm1 0.044 0.824 0.220
Tm2 0.245 0.545 0.301
Tm3 0.245 0.944 0.699
Tm4 0.274 0.318 0.592
Tm5 0.274 0.682 0.956
Tm6 0.396 0.176 0.220
Tm7 0.604 0.824 0.780
Tm8 0.726 0.318 0.044
Tm9 0.726 0.682 0.408
Tm10 0.755 0.056 0.301
Tm11 0.755 0.455 0.699
Tm12 0.956 0.176 0.780
Cd1 0.000 0.500 0.500
Cd2 0.500 0.000 0.500
Ag1 0.000 0.147 0.147
Ag2 0.000 0.853 0.853
Ag3 0.365 0.365 0.000
Ag4 0.635 0.635 0.000

Calculated values
As for the formation energy from the elements: -4.147 kcal/mol of atoms.


Entry 13:
HfGaOF2 after structural relaxation. Source: Alexandria via LeMat-Bulk, functional PBE.

Lattice parameters (Å, degrees): 4.377 4.377 3.630 90.00 90.00 90.00
Element x y z (fractional)
Hf1 0.000 0.000 0.000
Ga1 0.500 0.500 0.500
O1 0.500 0.500 0.000
F1 0.000 0.500 0.500
F2 0.500 0.000 0.500

Calculated values
The value obtained for the formation energy (no corrections) is -1.085 eV per atom. The energy above the most stable polymorph in this dataset is 1295 meV/atom.


Entry 14:
CdIr2Os after structural relaxation. Source: Alexandria via LeMat-Bulk, functional PBE.

Lattice parameters (Å, degrees): 4.468 4.468 4.468 60.00 60.00 60.00
Element x y z (fractional)
Cd1 0.000 0.000 0.000
Ir1 0.250 0.250 0.250
Ir2 0.500 0.500 0.500
Os1 0.750 0.750 0.750

Calculated values
As for the formation energy from the elements: 15.347 kcal/mol of atoms.


Entry 15:
TbMg2Zn2 after structural relaxation. Source: Alexandria via LeMat-Bulk, functional PBE.

Lattice parameters (Å, degrees): 4.950 4.736 9.038 90.00 102.30 90.00
Element x y z (fractional)
Tb1 0.180 0.250 0.309
Tb2 0.820 0.750 0.691
Mg1 0.329 0.250 0.691
Mg2 0.391 0.750 0.920
Mg3 0.609 0.250 0.080
Mg4 0.671 0.750 0.309
Zn1 0.022 0.250 0.922
Zn2 0.248 0.750 0.510
Zn3 0.752 0.250 0.490
Zn4 0.978 0.750 0.078

Calculated values
As for the formation energy from the elements: -4.764 kcal/mol of atoms. The energy above the most stable polymorph in this dataset is 0 meV/atom.


Entry 16:
LaTb12Pr7 after structural relaxation. Source: Alexandria via LeMat-Bulk, functional PBE.

Lattice parameters (Å, degrees): 9.908 9.908 9.908 109.47 109.47 109.47
Element x y z (fractional)
La1 0.000 0.000 0.000
Tb1 0.001 0.252 0.749
Tb2 0.251 0.503 0.252
Tb3 0.251 0.999 0.748
Tb4 0.252 0.251 0.503
Tb5 0.252 0.749 0.001
Tb6 0.497 0.748 0.749
Tb7 0.503 0.252 0.251
Tb8 0.748 0.251 0.999
Tb9 0.748 0.749 0.497
Tb10 0.749 0.001 0.252
Tb11 0.749 0.497 0.748
Tb12 0.999 0.748 0.251
Pr1 0.000 0.000 0.500
Pr2 0.000 0.500 0.000
Pr3 0.000 0.500 0.500
Pr4 0.500 0.000 0.000
Pr5 0.500 0.000 0.500
Pr6 0.500 0.500 0.000
Pr7 0.500 0.500 0.500

Calculated values
As for the formation energy from the elements: 13.811 kcal/mol of atoms. The energy above the most stable polymorph in this dataset is 378 meV/atom.


Entry 17:
BaScRh after structural relaxation. Source: Alexandria via LeMat-Bulk, functional PBE.

Lattice parameters (Å, degrees): 7.216 7.216 7.216 152.12 152.12 39.84
Element x y z (fractional)
Ba1 0.000 0.000 0.000
Sc1 0.741 0.741 0.000
Rh1 0.322 0.322 0.000

Calculated values
As for the formation energy from the elements: -6.612 kcal/mol of atoms. The energy above the most stable polymorph in this dataset is 0 meV/atom.


Entry 18:
As2WCl after structural relaxation. Source: Alexandria via LeMat-Bulk, functional PBE.

Lattice parameters (Å, degrees): 3.235 3.235 7.167 90.00 90.00 90.00
Element x y z (fractional)
As1 0.000 0.000 0.198
As2 0.000 0.000 0.802
W1 0.500 0.500 0.000
Cl1 0.500 0.500 0.500

Calculated values
The value obtained for the formation energy (no corrections) is 0.128 eV per atom. The energy above the most stable polymorph in this dataset is 149 meV/atom.


Entry 19:
CuSeBr2Cl after structural relaxation. Source: Alexandria via LeMat-Bulk, functional PBE.

Lattice parameters (Å, degrees): 4.840 4.840 5.131 90.00 90.00 90.00
Element x y z (fractional)
Cu1 0.000 0.000 0.000
Se1 0.000 0.000 0.500
Br1 0.000 0.500 0.000
Br2 0.500 0.000 0.000
Cl1 0.500 0.500 0.500

Calculated values
The value obtained for the formation energy (no corrections) is 0.336 eV per atom. The energy above the most stable polymorph in this dataset is 0 meV/atom.


Entry 20:
TbTm2Cd2In2 after structural relaxation. Source: Alexandria via LeMat-Bulk, functional PBE.

Lattice parameters (Å, degrees): 9.263 9.263 9.263 30.89 30.89 30.89
Element x y z (fractional)
Tb1 0.000 0.000 0.000
Tm1 0.129 0.129 0.129
Tm2 0.871 0.871 0.871
Cd1 0.398 0.398 0.398
Cd2 0.602 0.602 0.602
In1 0.258 0.258 0.258
In2 0.742 0.742 0.742

Calculated values
As for the formation energy from the elements: -5.328 kcal/mol of atoms.


Number 1: calculated volume 19.19 Å³/atom. Number 2: calculated volume 31.17 Å³/atom. Number 3: calculated volume 31.66 Å³/atom. Number 4: calculated volume 10.90 Å³/atom. Number 5: calculated volume 12.86 Å³/atom. Number 6: calculated volume 26.87 Å³/atom. Number 7: calculated volume 13.15 Å³/atom. Number 8: calculated volume 21.47 Å³/atom. Number 9: calculated volume 15.80 Å³/atom. Number 10: calculated volume 14.89 Å³/atom. Number 11: calculated volume 31.02 Å³/atom. Number 12: calculated volume 26.64 Å³/atom. Number 13: calculated volume 13.91 Å³/atom. Number 14: calculated volume 15.77 Å³/atom. Number 15: calculated volume 20.70 Å³/atom. Number 16: calculated volume 37.43 Å³/atom. Number 17: calculated volume 27.33 Å³/atom. Number 18: calculated volume 18.75 Å³/atom. Number 19: calculated volume 24.04 Å³/atom. Number 20: calculated volume 26.54 Å³/atom.